The following is a GGA-PBE calculation of a relaxed structure of K2NbTlCr, from Alexandria via LeMat-Bulk.

a b c (Å): 6.420 6.420 5.329
angles (deg): 90.00 90.00 90.00
Fractional coordinates of all 5 atoms:
K 0.000 0.500 0.000
K 0.500 0.000 0.000
Nb 0.000 0.000 0.500
Tl 0.500 0.500 0.000
Cr 0.500 0.500 0.500

Output
- D(E_F): 1.1111 states/eV per atom
- E: -3.30 eV per atom
- Symmetry: P4/mmm (123)
- Formation enthalpy at 0 K: 1.55 eV/atom